Material: Ba4LaAs
Method: DFT, PBE-GGA
State: optimized geometry

Unit cell a=10.351 b=10.351 c=10.351 alpha=90.00 beta=90.00 gamma=90.00
Space group F-43m (No. 216)
One atom of each set of equivalent atoms:
Ba 0.124 0.124 0.376
La 0.000 0.000 0.000
As 0.250 0.250 0.750

The density of states at the Fermi level is 9.9 states/eV/f.u. The energy is -2.46 eV per atom.